<A>
BaZnHg4 | GGA-PBE | optimized geometry

## Properties
* DOS(E_F): 0.754 states/eV/atom
* V: 28.82 Å³/atom
* magnetization: 0.0 μB per formula unit
* mass density: 9.7 g/cm3

Cell: 8.844 8.844 8.844 Å, 90.00 90.00 90.00°
Space group F-43m (No. 216)
Asymmetric unit:
Ba 0.000 0.000 0.000 [4 per cell]
Zn 0.250 0.250 0.250 [4 per cell]
Hg 0.124 0.124 0.624 [16 per cell]

<B>
BaZnHg4 | GGA-PBE | optimized geometry

## Properties
* DOS(E_F): 0.538 states/eV/atom
* V: 28.28 Å³/atom
* magnetization: 0.0 μB per formula unit
* mass density: 9.8 g/cm3

Cell: 5.558 16.036 7.616 Å, 90.00 90.00 90.00°
Space group Cmcm (No. 63)
Asymmetric unit:
Ba 0.000 0.107 0.250 [4 per cell]
Zn 0.000 0.377 0.250 [4 per cell]
Hg 0.000 0.110 0.750 [4 per cell]
Hg 0.000 0.286 0.552 [8 per cell]
Hg 0.000 0.500 0.000 [4 per cell]

Which of them is most stable? Easy: <B>.

<A>
BaZn3Hg | GGA-PBE | optimized geometry

## Properties
* DOS(E_F): 1.400 states/eV/atom
* V: 57.11 Å³/atom
* magnetization: 0.0 μB per formula unit
* mass density: 3.1 g/cm3

Cell: 6.585 6.585 6.585 Å, 90.00 90.00 90.00°
Space group Pm-3m (No. 221)
Asymmetric unit:
Ba 0.000 0.000 0.000 [1 per cell]
Zn 0.000 0.000 0.500 [3 per cell]
Hg 0.500 0.500 0.500 [1 per cell]

<B>
BaZn3Hg | GGA-PBE | optimized geometry

## Properties
* DOS(E_F): 0.560 states/eV/atom
* V: 27.94 Å³/atom
* magnetization: 0.0 μB per formula unit
* mass density: 6.4 g/cm3

Cell: 5.189 5.189 5.189 Å, 90.00 90.00 90.00°
Space group Pm-3m (No. 221)
Asymmetric unit:
Ba 0.000 0.000 0.000 [1 per cell]
Zn 0.000 0.500 0.500 [3 per cell]
Hg 0.500 0.500 0.500 [1 per cell]

Which of them is most stable? Easy: <B>.